Compound: Y4Ho3
Source: Alexandria via LeMat-Bulk
Functional: PBE-GGA
Structure: relaxed

Cell lengths 3.5468, 5.0240, 12.8147 Å; angles 101.30, 97.95, 90.00 degrees
Sites, in units of the cell vectors:
Y (0.2861, 0.7861, 0.5722)
Y (0.4287, 0.9287, 0.8574)
Y (0.5713, 0.0713, 0.1426)
Y (0.7139, 0.2139, 0.4278)
Ho (0.1425, 0.6425, 0.2851)
Ho (0.8575, 0.3575, 0.7149)
Ho (0.0000, 0.5000, 0.0000)

**E**: -0.2070 Ha/atom
**Magnetic moment**: 0.00 μB/f.u.
**Energy relative to the elements**: 24 meV per atom

---

Compound: Tb4C2Se
Source: Alexandria via LeMat-Bulk
Functional: PBE-GGA
Structure: relaxed

Cell lengths 3.7178, 3.7178, 13.1744 Å; angles 81.89, 81.89, 60.00 degrees
Sites, in units of the cell vectors:
C (0.5799, 0.5799, 0.2604)
C (0.4201, 0.4201, 0.7396)
Tb (0.1188, 0.1188, 0.6437)
Tb (0.7165, 0.7165, 0.8506)
Tb (0.8812, 0.8812, 0.3563)
Tb (0.2835, 0.2835, 0.1494)
Se (0.0000, 0.0000, 0.0000)

**E**: -0.2399 Ha/atom
**Magnetic moment**: 0.00 μB/f.u.
**Formation energy without anion corrections**: -0.750 eV/atom

---

Compound: HfTeNO2
Source: Alexandria via LeMat-Bulk
Functional: PBE-GGA
Structure: relaxed

Cell lengths 4.0852, 4.0852, 4.3398 Å; angles 90.00, 90.00, 90.00 degrees
Sites, in units of the cell vectors:
Hf (0.5000, 0.5000, 0.5000)
O (0.5000, 0.0000, 0.0000)
O (0.0000, 0.5000, 0.0000)
Te (0.0000, 0.0000, 0.0000)
N (0.0000, 0.0000, 0.5000)

**E**: -0.2267 Ha/atom
**Magnetic moment**: 1.02 μB/f.u.
**Formation energy without anion corrections**: 0.097 eV/atom

---

Compound: BeCd2Pt
Source: Alexandria via LeMat-Bulk
Functional: PBE-GGA
Structure: relaxed

Cell lengths 3.0733, 3.0733, 7.0937 Å; angles 90.00, 90.00, 90.00 degrees
Sites, in units of the cell vectors:
Be (0.5000, 0.5000, 0.6854)
Cd (0.0000, 0.0000, 0.9668)
Cd (0.5000, 0.5000, 0.2803)
Pt (0.0000, 0.0000, 0.5675)

**E**: -0.1155 Ha/atom
**Magnetic moment**: 0.00 μB/f.u.
**Energy relative to the elements**: -244 meV per atom